1.
GGA-PBE Sc2InSb, relaxed; spin magnetization = 0.00 μB per formula unit; E_form (uncorrected) = -2.403 eV per formula unit; space-group type = I-4m2 (119)
1.0
-2.115 2.115 5.122
2.115 -2.115 5.122
2.115 2.115 -5.122
Sc In Sb
2 1 1
Direct
0.000 0.000 0.000
0.750 0.250 0.500
0.250 0.750 0.500
0.500 0.500 0.000

***

2.
GGA-PBE Li2SiAg, relaxed; spin magnetization = 0.00 μB per formula unit; E_form (uncorrected) = -0.583 eV per formula unit; space-group type = Cmmm (65)
1.0
2.730 -3.873 0.000
2.730 3.873 0.000
0.000 0.000 2.849
Li Si Ag
2 1 1
Direct
0.000 0.500 0.000
0.500 0.000 0.000
0.000 0.000 0.500
0.500 0.500 0.500

***

3.
GGA-PBE Ac4MgRh, relaxed; spin magnetization = 0.00 μB per formula unit; space-group type = F-43m (216); DFT formation energy = -319 meV/atom
1.0
0.000 7.508 7.508
7.508 0.000 7.508
7.508 7.508 0.000
Ac Mg Rh
16 4 4
Direct
0.187 0.187 0.813
0.187 0.813 0.187
0.187 0.813 0.813
0.404 0.404 0.404
0.404 0.404 0.787
0.404 0.787 0.404
0.561 0.561 0.939
0.561 0.939 0.561
0.561 0.939 0.939
0.787 0.404 0.404
0.813 0.187 0.187
0.813 0.187 0.813
0.813 0.813 0.187
0.939 0.561 0.561
0.939 0.561 0.939
0.939 0.939 0.561
0.173 0.173 0.173
0.173 0.173 0.482
0.173 0.482 0.173
0.482 0.173 0.173
0.175 0.608 0.608
0.608 0.175 0.608
0.608 0.608 0.175
0.608 0.608 0.608

***

4.
GGA-PBE Tb2Pm8Pr, relaxed; spin magnetization = 0.00 μB per formula unit; space-group type = C2/m (12); DFT formation energy = 145 meV/atom
1.0
9.712 -3.545 0.000
9.712 3.545 0.000
-0.341 0.000 5.674
Tb Pm Pr
2 8 1
Direct
0.215 0.215 0.255
0.785 0.785 0.745
0.045 0.045 0.238
0.100 0.635 0.269
0.312 0.312 0.769
0.365 0.900 0.731
0.635 0.100 0.269
0.688 0.688 0.231
0.900 0.365 0.731
0.955 0.955 0.762
0.500 0.500 0.000

***

5.
GGA-PBE SrFe3, relaxed; spin magnetization = 7.33 μB per formula unit; space-group type = Pnma (62); DFT formation energy = 452 meV/atom
1.0
7.362 0.000 0.000
0.000 6.589 0.000
0.000 0.000 6.088
Sr Fe
4 12
Direct
0.022 0.250 0.122
0.478 0.750 0.622
0.522 0.250 0.378
0.978 0.750 0.878
0.136 0.750 0.346
0.148 0.071 0.580
0.148 0.429 0.580
0.352 0.571 0.080
0.352 0.929 0.080
0.364 0.250 0.846
0.636 0.750 0.154
0.648 0.071 0.920
0.648 0.429 0.920
0.852 0.571 0.420
0.852 0.929 0.420
0.864 0.250 0.654

***

6.
GGA-PBE CaSmBi2, relaxed; spin magnetization = 0.00 μB per formula unit; space-group type = R3m (160); DFT formation energy = -682 meV/atom
1.0
2.384 1.377 7.166
-2.384 1.377 7.166
0.000 -2.753 7.166
Ca Sm Bi
1 1 2
Direct
0.000 0.000 0.000
0.825 0.825 0.825
0.416 0.416 0.416
0.579 0.579 0.579

***

7.
GGA-PBE Li4Th3ScTe8, relaxed; spin magnetization = 0.00 μB per formula unit; E_form (uncorrected) = -17.610 eV per formula unit; space-group type = R-3m (166)
1.0
4.277 2.469 7.254
-4.277 2.469 7.254
0.000 -4.938 7.254
Li Th Sc Te
4 3 1 8
Direct
0.000 0.000 0.000
0.000 0.500 0.500
0.500 0.000 0.500
0.500 0.500 0.000
0.000 0.000 0.500
0.000 0.500 0.000
0.500 0.000 0.000
0.500 0.500 0.500
0.254 0.254 0.731
0.254 0.731 0.254
0.258 0.258 0.258
0.269 0.746 0.746
0.731 0.254 0.254
0.742 0.742 0.742
0.746 0.269 0.746
0.746 0.746 0.269

***

8.
GGA-PBE Pr4Ge, relaxed; spin magnetization = 0.27 μB per formula unit; space-group type = Pm-3m (221); DFT formation energy = -29 meV/atom
1.0
5.767 0.000 0.000
0.000 5.767 0.000
0.000 0.000 5.767
Pr Ge
4 1
Direct
0.000 0.000 0.000
0.000 0.500 0.500
0.500 0.000 0.500
0.500 0.500 0.000
0.500 0.500 0.500

***

9.
GGA-PBE Dy3Ag, relaxed; spin magnetization = 0.00 μB per formula unit; space-group type = Pmm2 (25); DFT formation energy = 95 meV/atom
1.0
3.464 0.000 0.000
0.000 3.611 0.000
0.000 0.000 9.583
Dy Ag
3 1
Direct
0.000 0.000 0.000
0.000 0.500 0.312
0.500 0.500 0.743
0.500 0.000 0.486

***

10.
GGA-PBE AcHo2Ge, relaxed; spin magnetization = 0.00 μB per formula unit; space-group type = R-3m (166); DFT formation energy = -272 meV/atom
1.0
2.034 1.174 9.406
-2.034 1.174 9.406
0.000 -2.348 9.406
Ac Ho Ge
1 2 1
Direct
0.000 0.000 0.000
0.223 0.223 0.223
0.777 0.777 0.777
0.500 0.500 0.500

***

11.
GGA-PBE SiIrOs4, relaxed; spin magnetization = 0.00 μB per formula unit; E_form (uncorrected) = 6.330 eV per formula unit; space-group type = F-43m (216)
1.0
0.000 3.614 3.614
3.614 0.000 3.614
3.614 3.614 0.000
Si Ir Os
1 1 4
Direct
0.000 0.000 0.000
0.250 0.250 0.250
0.128 0.624 0.624
0.624 0.128 0.624
0.624 0.624 0.128
0.624 0.624 0.624

***

12.
GGA-PBE Mn5Cd, relaxed; spin magnetization = 2.19 μB per formula unit; space-group type = Amm2 (38); DFT formation energy = 309 meV/atom
1.0
4.181 0.000 0.000
0.000 1.355 7.121
0.000 -1.355 7.121
Mn Cd
5 1
Direct
0.000 0.000 0.000
0.000 0.289 0.289
0.000 0.649 0.649
0.500 0.183 0.183
0.500 0.545 0.545
0.500 0.869 0.869

***

13.
GGA-PBE Ca4BiSbO, relaxed; spin magnetization = 0.00 μB per formula unit; E_form (uncorrected) = -10.992 eV per formula unit; space-group type = I4mm (107)
1.0
-2.365 2.365 8.340
2.365 -2.365 8.340
2.365 2.365 -8.340
Ca Bi Sb O
4 1 1 1
Direct
0.000 0.000 0.000
0.175 0.675 0.500
0.333 0.333 0.000
0.675 0.175 0.500
0.532 0.532 0.000
0.811 0.811 0.000
0.185 0.185 0.000

***

14.
GGA-PBE LiCeLuZn, relaxed; spin magnetization = 1.01 μB per formula unit; space-group type = F-43m (216); DFT formation energy = -27 meV/atom
1.0
0.000 3.600 3.600
3.600 0.000 3.600
3.600 3.600 0.000
Li Ce Lu Zn
1 1 1 1
Direct
0.000 0.000 0.000
0.750 0.750 0.750
0.250 0.250 0.250
0.500 0.500 0.500

***

15.
GGA-PBE K2SrCdF6, relaxed; spin magnetization = 0.00 μB per formula unit; E_form (uncorrected) = -29.444 eV per formula unit; space-group type = P2_1/c (14)
1.0
6.295 0.000 0.000
0.000 6.482 0.000
-6.237 0.000 8.988
K Sr Cd F
4 2 2 12
Direct
0.236 0.049 0.250
0.236 0.451 0.750
0.764 0.549 0.250
0.764 0.951 0.750
0.500 0.000 0.000
0.500 0.500 0.500
0.000 0.000 0.500
0.000 0.500 0.000
0.139 0.212 0.945
0.139 0.288 0.445
0.237 0.698 0.948
0.237 0.802 0.448
0.341 0.041 0.741
0.341 0.459 0.241
0.659 0.541 0.759
0.659 0.959 0.259
0.763 0.198 0.552
0.763 0.302 0.052
0.861 0.712 0.555
0.861 0.788 0.055

***

16.
GGA-PBE NaSr2AgHg, relaxed; spin magnetization = 0.00 μB per formula unit; space-group type = P4/mmm (123); DFT formation energy = 245 meV/atom
1.0
6.301 0.000 0.000
0.000 6.301 0.000
0.000 0.000 4.969
Na Sr Ag Hg
1 2 1 1
Direct
0.000 0.000 0.000
0.000 0.500 0.000
0.500 0.000 0.000
0.000 0.000 0.500
0.500 0.500 0.500

***

17.
GGA-PBE UZnIrO6, relaxed; spin magnetization = 0.72 μB per formula unit; E_form (uncorrected) = -16.564 eV per formula unit; space-group type = P-31c (163)
1.0
5.209 0.000 0.000
-2.604 4.511 0.000
0.000 0.000 9.300
U Zn Ir O
2 2 2 12
Direct
0.000 0.000 0.000
0.000 0.000 0.500
0.333 0.667 0.250
0.667 0.333 0.750
0.333 0.667 0.750
0.667 0.333 0.250
0.017 0.344 0.630
0.017 0.673 0.870
0.327 0.344 0.870
0.327 0.983 0.630
0.344 0.017 0.130
0.344 0.327 0.370
0.656 0.673 0.630
0.656 0.983 0.870
0.673 0.017 0.370
0.673 0.656 0.130
0.983 0.327 0.130
0.983 0.656 0.370

***

18.
GGA-PBE Tb3YEr6, relaxed; spin magnetization = 0.00 μB per formula unit; space-group type = Cmc2_1 (36); DFT formation energy = 155 meV/atom
1.0
5.464 -9.416 0.000
5.464 9.416 0.000
0.000 0.000 6.175
Tb Y Er
6 2 12
Direct
0.109 0.891 0.500
0.219 0.439 0.108
0.439 0.219 0.608
0.561 0.781 0.108
0.781 0.561 0.608
0.891 0.109 0.000
0.296 0.704 0.429
0.704 0.296 0.929
0.035 0.456 0.708
0.118 0.212 0.533
0.212 0.118 0.033
0.219 0.781 0.927
0.455 0.545 0.661
0.456 0.035 0.208
0.544 0.965 0.708
0.545 0.455 0.161
0.781 0.219 0.427
0.788 0.882 0.533
0.882 0.788 0.033
0.965 0.544 0.208

***

19.
GGA-PBE LaSb2Rh4, relaxed; spin magnetization = 0.00 μB per formula unit; E_form (uncorrected) = -4.194 eV per formula unit; space-group type = Pnma (62)
1.0
17.366 0.000 0.000
0.000 4.362 0.000
0.000 0.000 7.232
La Sb Rh
4 8 16
Direct
0.143 0.250 0.021
0.357 0.750 0.521
0.643 0.250 0.479
0.857 0.750 0.979
0.033 0.750 0.257
0.206 0.250 0.574
0.294 0.750 0.074
0.467 0.250 0.757
0.533 0.750 0.243
0.706 0.250 0.926
0.794 0.750 0.426
0.967 0.250 0.743
0.033 0.750 0.884
0.061 0.250 0.463
0.179 0.750 0.363
0.212 0.750 0.770
0.288 0.250 0.270
0.321 0.250 0.863
0.439 0.750 0.963
0.467 0.250 0.384
0.533 0.750 0.616
0.561 0.250 0.037
0.679 0.750 0.137
0.712 0.750 0.730
0.788 0.250 0.230
0.821 0.250 0.637
0.939 0.750 0.537
0.967 0.250 0.116

***

20.
GGA-PBE Ti6H2N3, relaxed; spin magnetization = 0.00 μB per formula unit; VASP energy = -91.88 eV per cell; space-group type = C2/m (12)
1.0
2.617 -4.532 0.000
2.617 4.532 0.000
-1.740 0.000 4.807
Ti H N
6 2 3
Direct
0.088 0.421 0.764
0.244 0.244 0.234
0.421 0.088 0.764
0.579 0.912 0.236
0.756 0.756 0.766
0.912 0.579 0.236
0.333 0.667 0.500
0.667 0.333 0.500
0.167 0.833 0.000
0.500 0.500 0.000
0.833 0.167 0.000

***

21.
GGA-PBE ZrH, relaxed; spin magnetization = 0.00 μB per formula unit; VASP energy = -49.75 eV per cell; space-group type = I4/m (87)
1.0
-4.072 4.072 1.660
4.072 -4.072 1.660
4.072 4.072 -1.660
Zr H
4 4
Direct
0.063 0.730 0.793
0.270 0.063 0.332
0.730 0.937 0.668
0.937 0.270 0.207
0.180 0.300 0.480
0.300 0.820 0.121
0.700 0.180 0.879
0.820 0.700 0.520